Below is a relaxed Ca3Co2Ge3O12 crystal, with properties calculated at the PBEsol level.

Values from the calculation:
* calculated density: 4.87 Mg/m³
* calculated total energy: -559.53 eV per cell
* uncorrected formation energy: -2.01 eV/atom

Cell lengths 10.473, 10.473, 10.473 Å; angles 109.47, 109.47, 109.47 degrees
Fractional positions:
Ca 0.125 0.250 0.375
Ca 0.125 0.375 0.750
Ca 0.250 0.375 0.125
Ca 0.250 0.875 0.625
Ca 0.375 0.125 0.250
Ca 0.375 0.750 0.125
Ca 0.625 0.250 0.875
Ca 0.625 0.875 0.750
Ca 0.750 0.125 0.375
Ca 0.750 0.625 0.875
Ca 0.875 0.625 0.250
Ca 0.875 0.750 0.625
Co 0.000 0.000 0.000
Co 0.000 0.000 0.500
Co 0.000 0.500 0.000
Co 0.000 0.500 0.500
Co 0.500 0.000 0.000
Co 0.500 0.000 0.500
Co 0.500 0.500 0.000
Co 0.500 0.500 0.500
Ge 0.125 0.750 0.875
Ge 0.125 0.875 0.250
Ge 0.250 0.125 0.875
Ge 0.250 0.625 0.375
Ge 0.375 0.250 0.625
Ge 0.375 0.625 0.750
Ge 0.625 0.375 0.250
Ge 0.625 0.750 0.375
Ge 0.750 0.375 0.625
Ge 0.750 0.875 0.125
Ge 0.875 0.125 0.750
Ge 0.875 0.250 0.125
O 0.017 0.197 0.116
O 0.017 0.321 0.902
O 0.081 0.697 0.679
O 0.081 0.884 0.402
O 0.098 0.616 0.419
O 0.098 0.983 0.679
O 0.116 0.017 0.197
O 0.116 0.598 0.919
O 0.179 0.197 0.581
O 0.179 0.483 0.598
O 0.197 0.116 0.017
O 0.197 0.581 0.179
O 0.303 0.321 0.919
O 0.303 0.483 0.384
O 0.321 0.902 0.017
O 0.321 0.919 0.303
O 0.384 0.303 0.483
O 0.384 0.581 0.902
O 0.402 0.081 0.884
O 0.402 0.821 0.517
O 0.419 0.098 0.616
O 0.419 0.821 0.803
O 0.483 0.384 0.303
O 0.483 0.598 0.179
O 0.517 0.402 0.821
O 0.517 0.616 0.697
O 0.581 0.179 0.197
O 0.581 0.902 0.384
O 0.598 0.179 0.483
O 0.598 0.919 0.116
O 0.616 0.419 0.098
O 0.616 0.697 0.517
O 0.679 0.081 0.697
O 0.679 0.098 0.983
O 0.697 0.517 0.616
O 0.697 0.679 0.081
O 0.803 0.419 0.821
O 0.803 0.884 0.983
O 0.821 0.517 0.402
O 0.821 0.803 0.419
O 0.884 0.402 0.081
O 0.884 0.983 0.803
O 0.902 0.017 0.321
O 0.902 0.384 0.581
O 0.919 0.116 0.598
O 0.919 0.303 0.321
O 0.983 0.679 0.098
O 0.983 0.803 0.884